A plane-wave DFT calculation with PBE was carried out for a geometry-optimized YHfNiSn structure.

DFT total energy in eV for the cell shown: -101.94

Cell: 6.942 6.942 6.942 Å, 90.00 90.00 90.00°
Sites, in units of the cell vectors:
Y (0.000, 0.000, 0.000)
Y (0.000, 0.500, 0.500)
Y (0.500, 0.000, 0.500)
Y (0.500, 0.500, 0.000)
Hf (0.250, 0.250, 0.250)
Hf (0.250, 0.750, 0.750)
Hf (0.750, 0.250, 0.750)
Hf (0.750, 0.750, 0.250)
Ni (0.250, 0.250, 0.750)
Ni (0.250, 0.750, 0.250)
Ni (0.750, 0.250, 0.250)
Ni (0.750, 0.750, 0.750)
Sn (0.000, 0.000, 0.500)
Sn (0.000, 0.500, 0.000)
Sn (0.500, 0.000, 0.000)
Sn (0.500, 0.500, 0.500)

---

A plane-wave DFT calculation with PBE was carried out for a geometry-optimized HfZnNiSn structure.

DFT total energy in eV for the cell shown: -83.52

Cell: 6.530 6.530 6.530 Å, 90.00 90.00 90.00°
Sites, in units of the cell vectors:
Hf (0.000, 0.000, 0.000)
Hf (0.000, 0.500, 0.500)
Hf (0.500, 0.000, 0.500)
Hf (0.500, 0.500, 0.000)
Zn (0.250, 0.250, 0.750)
Zn (0.250, 0.750, 0.250)
Zn (0.750, 0.250, 0.250)
Zn (0.750, 0.750, 0.750)
Ni (0.000, 0.000, 0.500)
Ni (0.000, 0.500, 0.000)
Ni (0.500, 0.000, 0.000)
Ni (0.500, 0.500, 0.500)
Sn (0.250, 0.250, 0.250)
Sn (0.250, 0.750, 0.750)
Sn (0.750, 0.250, 0.750)
Sn (0.750, 0.750, 0.250)

---

A plane-wave DFT calculation with PBE was carried out for a geometry-optimized HfZrNiSn structure.

DFT total energy in eV for the cell shown: -110.43

Cell: 6.791 6.791 6.791 Å, 90.00 90.00 90.00°
Sites, in units of the cell vectors:
Hf (0.000, 0.000, 0.000)
Hf (0.000, 0.500, 0.500)
Hf (0.500, 0.000, 0.500)
Hf (0.500, 0.500, 0.000)
Zr (0.250, 0.250, 0.750)
Zr (0.250, 0.750, 0.250)
Zr (0.750, 0.250, 0.250)
Zr (0.750, 0.750, 0.750)
Ni (0.000, 0.000, 0.500)
Ni (0.000, 0.500, 0.000)
Ni (0.500, 0.000, 0.000)
Ni (0.500, 0.500, 0.500)
Sn (0.250, 0.250, 0.250)
Sn (0.250, 0.750, 0.750)
Sn (0.750, 0.250, 0.750)
Sn (0.750, 0.750, 0.250)

---

A plane-wave DFT calculation with PBE was carried out for a geometry-optimized Sr2Hf2Ni3 structure.

DFT total energy in eV for the cell shown: -38.43

Cell: 9.025 9.025 9.025 Å, 29.28 29.28 29.28°
Sites, in units of the cell vectors:
Sr (0.000, 0.000, 0.000)
Sr (0.494, 0.494, 0.494)
Hf (0.255, 0.255, 0.255)
Hf (0.731, 0.731, 0.731)
Ni (0.378, 0.378, 0.378)
Ni (0.612, 0.612, 0.612)
Ni (0.893, 0.893, 0.893)

---

A plane-wave DFT calculation with PBE was carried out for a geometry-optimized Hf3TaNi2 structure.

Energy of formation from the pure elements in eV/atom: -0.306

Cell: 6.357 5.152 5.187 Å, 75.88 51.81 52.31°
Sites, in units of the cell vectors:
Hf (0.000, 0.000, 0.000)
Hf (0.500, 0.823, 0.177)
Hf (0.823, 0.500, 0.500)
Ta (0.322, 0.322, 0.678)
Ni (0.410, 0.410, 0.090)
Ni (0.910, 0.910, 0.590)

---

A plane-wave DFT calculation with PBE was carried out for a geometry-optimized Hf2TaNi structure.

Energy of formation from the pure elements in eV/atom: 0.134

Cell: 6.563 6.563 6.563 Å, 90.00 90.00 90.00°
Sites, in units of the cell vectors:
Hf (0.000, 0.000, 0.000)
Hf (0.000, 0.500, 0.500)
Hf (0.250, 0.250, 0.250)
Hf (0.250, 0.750, 0.750)
Hf (0.500, 0.000, 0.500)
Hf (0.500, 0.500, 0.000)
Hf (0.750, 0.250, 0.750)
Hf (0.750, 0.750, 0.250)
Ta (0.000, 0.000, 0.500)
Ta (0.000, 0.500, 0.000)
Ta (0.500, 0.000, 0.000)
Ta (0.500, 0.500, 0.500)
Ni (0.250, 0.250, 0.750)
Ni (0.250, 0.750, 0.250)
Ni (0.750, 0.250, 0.250)
Ni (0.750, 0.750, 0.750)

---

A plane-wave DFT calculation with PBE was carried out for a geometry-optimized Hf3Ta2Ni2 structure.

Energy of formation from the pure elements in eV/atom: 0.023

Cell: 6.952 6.952 6.952 Å, 39.24 39.24 39.24°
Sites, in units of the cell vectors:
Hf (0.000, 0.000, 0.000)
Hf (0.265, 0.265, 0.265)
Hf (0.702, 0.702, 0.702)
Ta (0.430, 0.430, 0.430)
Ta (0.844, 0.844, 0.844)
Ni (0.129, 0.129, 0.129)
Ni (0.568, 0.568, 0.568)

---

A plane-wave DFT calculation with PBE was carried out for a geometry-optimized HfTa3Ni2 structure.

Energy of formation from the pure elements in eV/atom: -0.247

Cell: 6.270 5.080 5.060 Å, 76.39 51.95 51.66°
Sites, in units of the cell vectors:
Hf (0.000, 0.000, 0.000)
Ta (0.182, 0.500, 0.500)
Ta (0.500, 0.182, 0.818)
Ta (0.682, 0.682, 0.318)
Ni (0.092, 0.092, 0.408)
Ni (0.592, 0.592, 0.908)

---

A plane-wave DFT calculation with PBE was carried out for a geometry-optimized HfTaTlNi structure.

Energy above the lowest structure with this stoichiometry in meV per atom: 0.0

Cell: 6.694 6.694 6.694 Å, 90.00 90.00 90.00°
Sites, in units of the cell vectors:
Hf (0.000, 0.000, 0.000)
Hf (0.000, 0.500, 0.500)
Hf (0.500, 0.000, 0.500)
Hf (0.500, 0.500, 0.000)
Ta (0.250, 0.250, 0.250)
Ta (0.250, 0.750, 0.750)
Ta (0.750, 0.250, 0.750)
Ta (0.750, 0.750, 0.250)
Tl (0.000, 0.000, 0.500)
Tl (0.000, 0.500, 0.000)
Tl (0.500, 0.000, 0.000)
Tl (0.500, 0.500, 0.500)
Ni (0.250, 0.250, 0.750)
Ni (0.250, 0.750, 0.250)
Ni (0.750, 0.250, 0.250)
Ni (0.750, 0.750, 0.750)

---

A plane-wave DFT calculation with PBE was carried out for a geometry-optimized HfTaZnNi structure.

Energy above the lowest structure with this stoichiometry in meV per atom: 0.0
Energy of formation from the pure elements in eV/atom: 0.249

Cell: 6.426 6.426 6.426 Å, 90.00 90.00 90.00°
Sites, in units of the cell vectors:
Hf (0.000, 0.000, 0.000)
Hf (0.000, 0.500, 0.500)
Hf (0.500, 0.000, 0.500)
Hf (0.500, 0.500, 0.000)
Ta (0.250, 0.250, 0.250)
Ta (0.250, 0.750, 0.750)
Ta (0.750, 0.250, 0.750)
Ta (0.750, 0.750, 0.250)
Zn (0.000, 0.000, 0.500)
Zn (0.000, 0.500, 0.000)
Zn (0.500, 0.000, 0.000)
Zn (0.500, 0.500, 0.500)
Ni (0.250, 0.250, 0.750)
Ni (0.250, 0.750, 0.250)
Ni (0.750, 0.250, 0.250)
Ni (0.750, 0.750, 0.750)

---

A plane-wave DFT calculation with PBE was carried out for a geometry-optimized HfTcNi2 structure.

Energy of formation from the pure elements in eV/atom: -0.066

Cell: 6.122 6.122 6.122 Å, 90.00 90.00 90.00°
Sites, in units of the cell vectors:
Hf (0.000, 0.000, 0.000)
Hf (0.000, 0.500, 0.500)
Hf (0.500, 0.000, 0.500)
Hf (0.500, 0.500, 0.000)
Tc (0.250, 0.250, 0.750)
Tc (0.250, 0.750, 0.250)
Tc (0.750, 0.250, 0.250)
Tc (0.750, 0.750, 0.750)
Ni (0.000, 0.000, 0.500)
Ni (0.000, 0.500, 0.000)
Ni (0.250, 0.250, 0.250)
Ni (0.250, 0.750, 0.750)
Ni (0.500, 0.000, 0.000)
Ni (0.500, 0.500, 0.500)
Ni (0.750, 0.250, 0.750)
Ni (0.750, 0.750, 0.250)

---

A plane-wave DFT calculation with PBE was carried out for a geometry-optimized HfTc2Ni structure.

Energy of formation from the pure elements in eV/atom: -0.142

Cell: 6.225 6.225 6.225 Å, 90.00 90.00 90.00°
Sites, in units of the cell vectors:
Hf (0.000, 0.000, 0.000)
Hf (0.000, 0.500, 0.500)
Hf (0.500, 0.000, 0.500)
Hf (0.500, 0.500, 0.000)
Tc (0.000, 0.000, 0.500)
Tc (0.000, 0.500, 0.000)
Tc (0.250, 0.250, 0.250)
Tc (0.250, 0.750, 0.750)
Tc (0.500, 0.000, 0.000)
Tc (0.500, 0.500, 0.500)
Tc (0.750, 0.250, 0.750)
Tc (0.750, 0.750, 0.250)
Ni (0.250, 0.250, 0.750)
Ni (0.250, 0.750, 0.250)
Ni (0.750, 0.250, 0.250)
Ni (0.750, 0.750, 0.750)